# 1
First-principles (PBE) data for a relaxed structure of LiCuSbI2, as listed in the Alexandria database.

Cell: 5.786 5.786 4.924 Å, 90.00 90.00 90.00°
Last column: magnetic moment on the atom in μB.
Positions (direct):
I (0.500, 0.000, 0.000)  0.04
I (0.000, 0.500, 0.000)  0.04
Cu (0.000, 0.000, 0.000)  0.06
Li (0.500, 0.500, 0.500)  0.00
Sb (0.000, 0.000, 0.500)  0.23

Output
Symmetry ... No. 123

---

# 2
First-principles (PBE) data for a relaxed structure of LiCuSbI2, as listed in the Alexandria database.

Cell: 5.380 5.380 5.112 Å, 90.00 90.00 90.00°
Positions (direct):
Li (0.000, 0.000, 0.000)
I (0.000, 0.500, 0.000)
I (0.500, 0.000, 0.000)
Cu (0.500, 0.500, 0.500)
Sb (0.000, 0.000, 0.500)

Output
Symmetry ... No. 123

---

no.,DFT total energy (eV/atom),formation energy from raw total energies (eV/f.u.)
1,-2.5905,0.28
2,-2.1959,2.25